Entry 1:
First-principles (PBE) data for a relaxed structure of RbPt2, as listed in the Alexandria database.

Cell: 7.6356 7.6356 7.6356 Å, 90.00 90.00 90.00°
Closest atoms and distances in Å follow each position.
Sites, in units of the cell vectors:
Rb: 0.0000 0.0000 0.0000  6 Pt 3.27
Rb: 0.0000 0.5000 0.5000  6 Pt 3.27
Rb: 0.5000 0.0000 0.5000  6 Pt 3.27
Rb: 0.5000 0.5000 0.0000  6 Pt 3.27
Pt: 0.0912 0.5912 0.9088  1 Pt 2.41
Pt: 0.0912 0.9088 0.4088  1 Pt 2.41
Pt: 0.4088 0.0912 0.9088  1 Pt 2.41
Pt: 0.4088 0.4088 0.4088  1 Pt 2.41
Pt: 0.5912 0.5912 0.5912  1 Pt 2.41
Pt: 0.5912 0.9088 0.0912  1 Pt 2.41
Pt: 0.9088 0.0912 0.5912  1 Pt 2.41
Pt: 0.9088 0.4088 0.0912  1 Pt 2.41

Properties
As for the total moment: 4.11 μB/cell. The energy is -3.00 eV/atom. The volume comes out at 37.1 Å³ per atom. As for the space-group type: No. 205.

***

Entry 2:
First-principles (PBE) data for a relaxed structure of RbPt2, as listed in the Alexandria database.

Cell: 6.1178 6.1178 2.8312 Å, 90.00 90.00 132.99°
Closest atoms and distances in Å follow each position.
Sites, in units of the cell vectors:
Rb: 0.0000 0.0000 0.0000  2 Rb 2.83
Pt: 0.2780 0.7220 0.5000  2 Pt 2.52
Pt: 0.7220 0.2780 0.5000  2 Pt 2.52

Properties
As for the total moment: 0.00 μB/cell. The energy is -4.11 eV/atom. The volume comes out at 25.8 Å³ per atom. As for the space-group type: No. 65.

***

Entry 3:
First-principles (PBE) data for a relaxed structure of RbPt3, as listed in the Alexandria database.

Cell: 8.9128 8.9128 2.8230 Å, 90.00 90.00 124.85°
Closest atoms and distances in Å follow each position.
Sites, in units of the cell vectors:
Rb: 0.1147 0.8853 0.7500  2 Rb 2.82
Rb: 0.8853 0.1147 0.2500  2 Rb 2.82
Pt: 0.1404 0.5323 0.7500  7 Pt 2.63-2.82
Pt: 0.4277 0.5723 0.2500  8 Pt 2.69-2.82
Pt: 0.4677 0.8596 0.7500  7 Pt 2.63-2.82
Pt: 0.5323 0.1404 0.2500  7 Pt 2.63-2.82
Pt: 0.5723 0.4277 0.7500  8 Pt 2.69-2.82
Pt: 0.8596 0.4677 0.2500  7 Pt 2.63-2.82

Properties
As for the total moment: 0.00 μB/cell. As for the energy above the most stable polymorph in this dataset: 229 meV/atom. The volume comes out at 23.0 Å³ per atom. As for the space-group type: No. 63.

***

Among the records above, which one has the highest total moment?
number 1

***

total moment of number 2 (RbPt2)?
0.00 μB/cell

***

Look up the total moment of the first one.
4.11 μB/cell

***

Which formula does entry 2 have?
RbPt2